The following is a DFT calculation (GGA-PBE) of Mg4CdGa9 after structural relaxation.

Cell: 9.4920 9.4920 9.4920 Å, 122.04 122.04 86.50°
Sites, in units of the cell vectors:
Mg 0.0590 0.5590 0.8788
Mg 0.1802 0.0590 0.5000
Mg 0.3198 0.8198 0.8788
Mg 0.4410 0.3198 0.5000
Mg 0.5590 0.6802 0.5000
Mg 0.6802 0.1802 0.1212
Mg 0.8198 0.9410 0.5000
Mg 0.9410 0.4410 0.1212
Cd 0.2500 0.2500 0.0000
Cd 0.7500 0.7500 0.0000
Ga 0.0000 0.5000 0.5000
Ga 0.0462 0.2023 0.2485
Ga 0.0675 0.7854 0.5000
Ga 0.2023 0.9538 0.1562
Ga 0.2146 0.7146 0.2821
Ga 0.2854 0.5675 0.5000
Ga 0.2977 0.4538 0.7515
Ga 0.4325 0.9325 0.7179
Ga 0.4538 0.7023 0.1562
Ga 0.5000 0.0000 0.5000
Ga 0.5462 0.2977 0.8438
Ga 0.5675 0.0675 0.2821
Ga 0.7023 0.5462 0.2485
Ga 0.7146 0.4325 0.5000
Ga 0.7854 0.2854 0.7179
Ga 0.7977 0.0462 0.8438
Ga 0.9325 0.2146 0.5000
Ga 0.9538 0.7977 0.7515

Calculated volume ... 584.9 Å³ per cell
Energy of formation from the pure elements ... -15 meV/atom
Magnetic moment ... 0.00 μB per formula unit
E_tot ... -2.482 eV/atom